Computed, not measured: crystalline Sm2MgGa4Rh3 at its relaxed geometry at the GGA-PBE level of DFT.

a b c (Å): 4.0720 4.0720 11.4772
angles (deg): 90.00 90.00 90.00
Closest atoms and distances in Å follow each position.
Fractional positions:
Ga (0.5000, 0.0000, 0.6461)  3 Rh 2.53-2.64, 2 Mg 2.64
Ga (0.0000, 0.5000, 0.3539)  3 Rh 2.53-2.64, 2 Mg 2.64
Ga (0.5000, 0.5000, 0.0000)  4 Rh 2.55
Ga (0.0000, 0.0000, 0.0000)  4 Rh 2.55
Rh (0.5000, 0.0000, 0.8664)  5 Ga 2.53-2.55
Rh (0.0000, 0.0000, 0.5000)  4 Ga 2.64, 4 Mg 2.88
Rh (0.0000, 0.5000, 0.1336)  5 Ga 2.53-2.55
Mg (0.5000, 0.5000, 0.5000)  4 Ga 2.64, 4 Rh 2.88
Sm (0.5000, 0.0000, 0.2333)  4 Rh 3.10, 8 Ga 3.19-3.36
Sm (0.0000, 0.5000, 0.7667)  4 Rh 3.10, 8 Ga 3.19-3.36

Summary:
ρ in g/cm³: 7.96
Energy of formation in eV/atom: -0.686
VASP energy in eV per cell: -52.050
DOS at the Fermi energy in states/eV/f.u.: 5.8
Total moment in μB per formula unit: 0.00

---

Computed, not measured: crystalline SmMgGa2Rh2 at its relaxed geometry at the GGA-PBE level of DFT.

a b c (Å): 4.3403 4.3403 6.7518
angles (deg): 90.00 90.00 120.00
Closest atoms and distances in Å follow each position.
Fractional positions:
Ga (0.6667, 0.3333, 0.7244)  4 Rh 2.54-2.60
Ga (0.3333, 0.6667, 0.2756)  4 Rh 2.54-2.60
Rh (0.3333, 0.6667, 0.6605)  4 Ga 2.54-2.60, 3 Mg 2.73
Rh (0.6667, 0.3333, 0.3395)  4 Ga 2.54-2.60, 3 Mg 2.73
Sm (0.0000, 0.0000, 0.0000)  6 Ga 3.12, 2 Mg 3.38, 6 Rh 3.40
Mg (0.0000, 0.0000, 0.5000)  6 Rh 2.73, 6 Ga 2.93

Summary:
ρ in g/cm³: 7.84
Energy of formation in eV/atom: -0.732
VASP energy in eV per cell: -31.465
DOS at the Fermi energy in states/eV/f.u.: 1.1
Total moment in μB per formula unit: 0.00

---

Computed, not measured: crystalline Sm2MgGa3Rh4 at its relaxed geometry at the GGA-PBE level of DFT.

a b c (Å): 4.2264 4.2264 10.5115
angles (deg): 90.00 90.00 90.00
Closest atoms and distances in Å follow each position.
Fractional positions:
Sm (0.5000, 0.0000, 0.2356)  6 Ga 3.21-3.49, 8 Rh 3.26, 2 Mg 3.49
Sm (0.0000, 0.5000, 0.7644)  6 Ga 3.21-3.49, 8 Rh 3.26, 2 Mg 3.49
Rh (0.0000, 0.5000, 0.3584)  3 Ga 2.47-2.58, 2 Mg 2.58
Rh (0.5000, 0.0000, 0.6416)  3 Ga 2.47-2.58, 2 Mg 2.58
Rh (0.5000, 0.5000, 0.0000)  4 Ga 2.48
Rh (0.0000, 0.0000, 0.0000)  4 Ga 2.48
Ga (0.5000, 0.0000, 0.8765)  5 Rh 2.47-2.48
Ga (0.0000, 0.0000, 0.5000)  4 Rh 2.58
Ga (0.0000, 0.5000, 0.1235)  5 Rh 2.47-2.48
Mg (0.5000, 0.5000, 0.5000)  4 Rh 2.58

Summary:
ρ in g/cm³: 8.36
Energy of formation in eV/atom: -0.755
VASP energy in eV per cell: -57.067
DOS at the Fermi energy in states/eV/f.u.: 6.1
Total moment in μB per formula unit: 0.00

---

Computed, not measured: crystalline SmMgGaRh at its relaxed geometry at the GGA-PBE level of DFT.

a b c (Å): 4.8302 4.8302 4.8302
angles (deg): 60.00 60.00 60.00
Closest atoms and distances in Å follow each position.
Fractional positions:
Ga (0.2500, 0.2500, 0.2500)  4 Mg 2.96, 4 Sm 2.96
Sm (0.0000, 0.0000, 0.0000)  4 Rh 2.96, 4 Ga 2.96
Mg (0.5000, 0.5000, 0.5000)  4 Rh 2.96, 4 Ga 2.96
Rh (0.7500, 0.7500, 0.7500)  4 Mg 2.96, 4 Sm 2.96

Summary:
ρ in g/cm³: 7.24
Energy of formation in eV/atom: -0.482
VASP energy in eV per cell: -18.619
DOS at the Fermi energy in states/eV/f.u.: 3.1
Total moment in μB per formula unit: 0.00

---

Computed, not measured: crystalline MgGa2Sn2Rh5 at its relaxed geometry at the GGA-PBE level of DFT.

a b c (Å): 3.5220 9.6895 9.6895
angles (deg): 90.00 90.00 90.00
Closest atoms and distances in Å follow each position.
Fractional positions:
Rh (0.5000, 0.9007, 0.1895)  2 Ga 2.50, 2 Mg 2.72
Rh (0.5000, 0.5000, 0.0000)  4 Ga 2.50
Rh (0.5000, 0.5993, 0.6895)  2 Ga 2.50, 2 Mg 2.72
Rh (0.5000, 0.4007, 0.3105)  2 Ga 2.50, 2 Mg 2.72
Rh (0.5000, 0.8105, 0.9007)  2 Ga 2.50, 2 Mg 2.72
Rh (0.5000, 0.0993, 0.8105)  2 Ga 2.50, 2 Mg 2.72
Rh (0.5000, 0.3105, 0.5993)  2 Ga 2.50, 2 Mg 2.72
Rh (0.5000, 0.1895, 0.0993)  2 Ga 2.50, 2 Mg 2.72
Rh (0.5000, 0.6895, 0.4007)  2 Ga 2.50, 2 Mg 2.72
Rh (0.5000, 0.0000, 0.5000)  4 Ga 2.50
Ga (0.0000, 0.8709, 0.3709)  6 Rh 2.50, 1 Sn 2.75
Ga (0.0000, 0.1291, 0.6291)  6 Rh 2.50, 1 Sn 2.75
Ga (0.0000, 0.3709, 0.1291)  6 Rh 2.50, 1 Sn 2.75
Ga (0.0000, 0.6291, 0.8709)  6 Rh 2.50, 1 Sn 2.75
Sn (0.0000, 0.8294, 0.6706)  3 Ga 2.75-2.93, 6 Rh 2.85-2.93
Sn (0.0000, 0.1706, 0.3294)  3 Ga 2.75-2.93, 6 Rh 2.85-2.93
Sn (0.0000, 0.3294, 0.8294)  3 Ga 2.75-2.93, 6 Rh 2.85-2.93
Sn (0.0000, 0.6706, 0.1706)  3 Ga 2.75-2.93, 6 Rh 2.85-2.93
Mg (0.0000, 0.5000, 0.5000)  8 Rh 2.72
Mg (0.0000, 0.0000, 0.0000)  8 Rh 2.72

Summary:
ρ in g/cm³: 9.20
Energy of formation in eV/atom: -0.331
VASP energy in eV per cell: -111.448
DOS at the Fermi energy in states/eV/f.u.: 3.1
Total moment in μB per formula unit: 0.00

---

Computed, not measured: crystalline SrMgGa2Rh2 at its relaxed geometry at the GGA-PBE level of DFT.

a b c (Å): 4.3389 4.3389 7.3734
angles (deg): 90.00 90.00 120.00
Closest atoms and distances in Å follow each position.
Fractional positions:
Mg (0.0000, 0.0000, 0.5000)  6 Rh 2.73, 6 Ga 2.93
Ga (0.3333, 0.6667, 0.2948)  4 Rh 2.54-2.59
Ga (0.6667, 0.3333, 0.7052)  4 Rh 2.54-2.59
Rh (0.6667, 0.3333, 0.3542)  4 Ga 2.54-2.59, 3 Mg 2.73
Rh (0.3333, 0.6667, 0.6458)  4 Ga 2.54-2.59, 3 Mg 2.73
Sr (0.0000, 0.0000, 0.0000)  6 Ga 3.32, 6 Rh 3.62, 2 Mg 3.69

Summary:
ρ in g/cm³: 6.31
Energy of formation in eV/atom: -0.630
VASP energy in eV per cell: -27.813
DOS at the Fermi energy in states/eV/f.u.: 1.8
Total moment in μB per formula unit: 0.00